Below is a geometry-optimized MgAg2Pb structure, with properties calculated at the PBE level.

## Properties
formation energy = -1.9 kJ/mol of atoms
ρ = 8.65 g/cm³
volume = 21.462 A^3/atom

Lattice parameters (Å, degrees): 9.794 3.515 5.127 90.00 103.39 90.00
Space group C2/m (No. 12)
Inequivalent atoms, fractional coordinates:
Mg (0.000, 0.000, 0.000) [2 per cell]
Ag (0.242, 0.500, 0.225) [4 per cell]
Pb (0.000, 0.500, 0.500) [2 per cell]

Below is a geometry-optimized Pm3Mg2Ag2Pb4 structure, with properties calculated at the PBE level.

## Properties
formation energy = -33.8 kJ/mol of atoms
ρ = 8.26 g/cm³
volume = 27.932 A^3/atom

Lattice parameters (Å, degrees): 4.8510 4.8510 15.0767 90.00 90.00 120.00
Space group P-3m1 (No. 164)
Inequivalent atoms, fractional coordinates:
Pm (0.0000, 0.0000, 0.0000) [1 per cell]
Pm (0.0000, 0.0000, 0.2639) [2 per cell]
Mg (0.3333, 0.6667, 0.5707) [2 per cell]
Ag (0.3333, 0.6667, 0.1538) [2 per cell]
Pb (0.3333, 0.6667, 0.3679) [2 per cell]
Pb (0.3333, 0.6667, 0.8850) [2 per cell]

Below is a geometry-optimized PmMgAgPb structure, with properties calculated at the PBE level.

## Properties
formation energy = -30.3 kJ/mol of atoms
ρ = 8.03 g/cm³
volume = 25.036 A^3/atom

Lattice parameters (Å, degrees): 7.372 7.372 7.372 90.00 90.00 90.00
Space group F-43m (No. 216)
Inequivalent atoms, fractional coordinates:
Pm (0.000, 0.000, 0.000) [4 per cell]
Mg (0.000, 0.000, 0.500) [4 per cell]
Ag (0.250, 0.250, 0.750) [4 per cell]
Pb (0.250, 0.250, 0.250) [4 per cell]

Below is a geometry-optimized PrMg2Ag2Pb2 structure, with properties calculated at the PBE level.

## Properties
formation energy = -24.4 kJ/mol of atoms
ρ = 8.05 g/cm³
volume = 24.152 A^3/atom

Lattice parameters (Å, degrees): 4.7590 4.7590 25.8591 90.00 90.00 120.00
Space group R-3m (No. 166, hexagonal axes)
Inequivalent atoms, fractional coordinates:
Pr (0.0000, 0.0000, 0.0000) [3 per cell]
Mg (0.0000, 0.0000, 0.1390) [6 per cell]
Ag (0.0000, 0.0000, 0.4442) [6 per cell]
Pb (0.0000, 0.0000, 0.2645) [6 per cell]

Below is a geometry-optimized PrMgAgPb structure, with properties calculated at the PBE level.

## Properties
formation energy = -30.2 kJ/mol of atoms
ρ = 7.76 g/cm³
volume = 25.696 A^3/atom

Lattice parameters (Å, degrees): 7.436 7.436 7.436 90.00 90.00 90.00
Space group F-43m (No. 216)
Inequivalent atoms, fractional coordinates:
Pr (0.000, 0.000, 0.000) [4 per cell]
Mg (0.000, 0.000, 0.500) [4 per cell]
Ag (0.250, 0.250, 0.750) [4 per cell]
Pb (0.250, 0.250, 0.250) [4 per cell]

Below is a geometry-optimized MgAgSbPb structure, with properties calculated at the PBE level.

## Properties
raw formation energy = 5.17 kJ per mole of atoms
ρ = 7.77 g/cm³
volume = 24.633 A^3/atom

Lattice parameters (Å, degrees): 7.332 7.332 7.332 90.00 90.00 90.00
Space group F-43m (No. 216)
Inequivalent atoms, fractional coordinates:
Mg (0.000, 0.000, 0.000) [4 per cell]
Ag (0.000, 0.000, 0.500) [4 per cell]
Sb (0.250, 0.250, 0.750) [4 per cell]
Pb (0.250, 0.250, 0.250) [4 per cell]

Below is a geometry-optimized MgScAgPb structure, with properties calculated at the PBE level.

## Properties
formation energy = -22.1 kJ/mol of atoms
ρ = 7.25 g/cm³
volume = 22.009 A^3/atom

Lattice parameters (Å, degrees): 7.062 7.062 7.062 90.00 90.00 90.00
Space group F-43m (No. 216)
Inequivalent atoms, fractional coordinates:
Mg (0.000, 0.000, 0.000) [4 per cell]
Sc (0.000, 0.000, 0.500) [4 per cell]
Ag (0.250, 0.250, 0.250) [4 per cell]
Pb (0.250, 0.250, 0.750) [4 per cell]

Below is a geometry-optimized SmMg2Ag2Pb2 structure, with properties calculated at the PBE level.

## Properties
formation energy = -22.4 kJ/mol of atoms
ρ = 8.30 g/cm³
volume = 23.699 A^3/atom

Lattice parameters (Å, degrees): 4.7419 4.7419 25.5577 90.00 90.00 120.00
Space group R-3m (No. 166, hexagonal axes)
Inequivalent atoms, fractional coordinates:
Sm (0.0000, 0.0000, 0.0000) [3 per cell]
Mg (0.0000, 0.0000, 0.1388) [6 per cell]
Ag (0.0000, 0.0000, 0.4437) [6 per cell]
Pb (0.0000, 0.0000, 0.2666) [6 per cell]

> Look up the ρ of the sixth one.

7.77 g/cm³

> Which value of ρ does entry 3 give?

8.03 g/cm³

> Which of these has the lowest volume?

MgAg2Pb